[1]
{"formula": "Mn2FeW", "functional": "PBE", "state": "optimized geometry", "dos_at_fermi_per_ev_cell": 5.08, "ef_ev_per_atom": 0.13, "e_tot_ev_per_atom": -9.81, "lattice": [[-1.511, 2.061, 4.046], [1.511, -2.061, 4.046], [1.511, 2.061, -4.046]], "species": ["Mn", "Mn", "Fe", "W"], "frac_coords": [[0.247, 0.247, 0.000], [0.753, 0.753, 0.000], [0.000, 0.500, 0.500], [0.500, 0.000, 0.500]]}



[2]
{"formula": "MnFeW", "functional": "PBE", "state": "optimized geometry", "dos_at_fermi_per_ev_cell": 20.03, "ef_ev_per_atom": -0.05, "e_tot_ev_per_atom": -10.25, "de_polymorph_ev_per_atom": 0.000, "lattice": [[2.358, 1.361, 11.568], [-2.358, 1.361, 11.568], [0.000, -2.723, 11.568]], "species": ["Mn", "Mn", "Mn", "Mn", "Mn", "Mn", "Fe", "Fe", "Fe", "Fe", "Fe", "Fe", "W", "W", "W", "W", "W", "W"], "frac_coords": [[0.000, 0.000, 0.000], [0.000, 0.000, 0.500], [0.000, 0.500, 0.000], [0.110, 0.110, 0.110], [0.500, 0.000, 0.000], [0.890, 0.890, 0.890], [0.227, 0.227, 0.711], [0.227, 0.711, 0.227], [0.289, 0.773, 0.773], [0.711, 0.227, 0.227], [0.773, 0.289, 0.773], [0.773, 0.773, 0.289], [0.237, 0.237, 0.237], [0.318, 0.318, 0.318], [0.459, 0.459, 0.459], [0.541, 0.541, 0.541], [0.682, 0.682, 0.682], [0.763, 0.763, 0.763]]}



[3]
{"formula": "Mn2FeW", "functional": "PBE", "state": "optimized geometry", "dos_at_fermi_per_ev_cell": 4.42, "ef_ev_per_atom": 0.31, "e_tot_ev_per_atom": -9.63, "lattice": [[1.305, 0.754, 8.497], [-1.305, 0.754, 8.497], [0.000, -1.507, 8.497]], "species": ["Mn", "Mn", "Fe", "W"], "frac_coords": [[0.000, 0.000, 0.000], [0.259, 0.259, 0.259], [0.746, 0.746, 0.746], [0.502, 0.502, 0.502]]}



[4]
{"formula": "Mn2FeW", "functional": "PBE", "state": "optimized geometry", "dos_at_fermi_per_ev_cell": 4.51, "ef_ev_per_atom": 0.10, "e_tot_ev_per_atom": -9.84, "lattice": [[-1.533, 2.008, 4.081], [1.533, -2.008, 4.081], [1.533, 2.008, -4.081]], "species": ["Mn", "Mn", "Fe", "W"], "frac_coords": [[0.000, 0.000, 0.000], [0.752, 0.252, 0.500], [0.244, 0.744, 0.500], [0.497, 0.497, 0.000]]}